Entry 1:
DFT (PBE) results for an optimized crystal structure of NaGaAs.

* formation enthalpy at 0 K: -69 kJ/mol of formula units
* N(E_F): 1.26 states/eV/cell
* mass density: 3.84 g cm⁻³
* VASP energy: -3.24 eV/atom

Unit cell a=4.0758 b=4.0758 c=5.0376 alpha=90.00 beta=90.00 gamma=120.00
Positions (direct):
Na: 0.0000 0.0000 0.0000
Ga: 0.3333 0.6667 0.4230
As: 0.6667 0.3333 0.6034

***

Entry 2:
DFT (PBE) results for an optimized crystal structure of Na2GaAs2.

* formation enthalpy at 0 K: -161 kJ/mol of formula units
* N(E_F): 1.33 states/eV/cell
* mass density: 3.65 g cm⁻³
* VASP energy: -3.33 eV/atom

Unit cell a=6.2970 b=6.2970 c=7.4570 alpha=100.78 beta=100.78 gamma=56.72
Positions (direct):
Na: 0.0152 0.2764 0.1317
Na: 0.2764 0.0152 0.6317
Na: 0.7236 0.9848 0.3683
Na: 0.9848 0.7236 0.8683
Ga: 0.4505 0.5495 0.2500
Ga: 0.5495 0.4505 0.7500
As: 0.2175 0.5108 0.4798
As: 0.4892 0.7825 0.0202
As: 0.5108 0.2175 0.9798
As: 0.7825 0.4892 0.5202

***

Entry 3:
DFT (PBE) results for an optimized crystal structure of NaGaAs.

* formation enthalpy at 0 K: -58 kJ/mol of formula units
* N(E_F): 3.78 states/eV/cell
* mass density: 3.51 g cm⁻³
* VASP energy: -3.20 eV/atom

Unit cell a=4.1595 b=5.1247 c=14.8972 alpha=90.00 beta=90.00 gamma=90.00
Positions (direct):
Na: 0.0000 0.0000 0.1618
Na: 0.0000 0.0000 0.8382
Na: 0.5000 0.5000 0.3382
Na: 0.5000 0.5000 0.6618
Ga: 0.0000 0.2642 0.5000
Ga: 0.0000 0.7358 0.5000
Ga: 0.5000 0.2358 0.0000
Ga: 0.5000 0.7642 0.0000
As: 0.0000 0.0000 0.3634
As: 0.0000 0.0000 0.6366
As: 0.5000 0.5000 0.1366
As: 0.5000 0.5000 0.8634

***

E above lowest polymorph values, unit meV per atom, following the record order: 0.0, 34.7, 37.4.